Material: LaZr2Ir
Method: DFT, PBE
State: relaxed

```
LaZr2Ir
1.0
6.102 -1.645 0.000
6.102 1.645 0.000
-2.292 0.000 4.774
La Zr Ir
1 2 1
Cartesian
0.000 0.000 0.000
0.878 0.000 3.360
9.034 0.000 1.414
4.956 0.000 2.387
```

Results
Space group = C2/m (12)
DFT formation energy = -0.29 eV/atom
M_tot = 0.0 Bohr magnetons per cell